No. 1
Density functional theory data (GGA-PBE) for an optimized crystal structure of Ba2SrMgF.

Values from the calculation:
The density is 3.6 g/cm3. For the calculated total energy, the calculation gives -14.4 eV for the cell shown.

Cell: 6.1684 6.1684 4.8944 Å, 90.00 90.00 90.00°
With the nearest neighbours (Å) after each atom.
Fractional coordinates of all 5 atoms:
Mg (0.5000, 0.5000, 0.5000)  8 Ba 3.94, 4 Sr 4.36
Ba (0.0000, 0.5000, 0.0000)  2 F 3.08
Ba (0.5000, 0.0000, 0.0000)  2 F 3.08
Sr (0.0000, 0.0000, 0.5000)  2 F 2.45
F (0.0000, 0.0000, 0.0000)  2 Sr 2.45


No. 2
Density functional theory data (GGA-PBE) for an optimized crystal structure of BaMg2TiF.

Values from the calculation:
The density is 1.4 g/cm3. For the calculated total energy, the calculation gives -9.5 eV for the cell shown.

Cell: 6.8914 6.1429 6.8914 Å, 90.00 90.00 90.00°
With the nearest neighbours (Å) after each atom.
Fractional coordinates of all 5 atoms:
Mg (0.0000, 0.0000, 0.5000)  2 Ba 3.45
Ti (0.0000, 0.5000, 0.0000)  2 Ba 3.07
Mg (0.5000, 0.0000, 0.0000)  2 Ba 3.45
Ba (0.0000, 0.0000, 0.0000)  2 Ti 3.07
F (0.5000, 0.5000, 0.5000)  8 Mg 4.62, 4 Ti 4.87


No. 3
Density functional theory data (GGA-PBE) for an optimized crystal structure of Ba2Mg3UF12.

Values from the calculation:
The density is 4.9 g/cm3. For the calculated total energy, the calculation gives -103.6 eV for the cell shown.

Cell: 7.1160 7.1160 7.1160 Å, 63.36 63.36 63.36°
With the nearest neighbours (Å) after each atom.
Fractional coordinates of all 18 atoms:
F (0.1374, 0.5807, 0.1374)  1 Mg 2.03
F (0.5807, 0.1374, 0.1374)  1 Mg 2.03
F (0.8626, 0.4193, 0.8626)  1 Mg 2.03
Mg (0.5000, 0.0000, 0.0000)  6 F 2.00-2.03
F (0.2694, 0.8862, 0.2694)  2 Mg 2.00
F (0.1374, 0.1374, 0.5807)  1 Mg 2.03
F (0.8626, 0.8626, 0.4193)  1 Mg 2.03
Ba (0.3869, 0.3869, 0.3869)  3 F 2.58
Mg (0.0000, 0.5000, 0.0000)  6 F 2.00-2.03
Mg (0.0000, 0.0000, 0.5000)  6 F 2.00-2.03
U (0.0000, 0.0000, 0.0000)  6 F 2.54
F (0.4193, 0.8626, 0.8626)  1 Mg 2.03
F (0.1138, 0.7306, 0.7306)  2 Mg 2.00
F (0.7306, 0.7306, 0.1138)  2 Mg 2.00
F (0.7306, 0.1138, 0.7306)  2 Mg 2.00
Ba (0.6131, 0.6131, 0.6131)  3 F 2.58
F (0.2694, 0.2694, 0.8862)  2 Mg 2.00
F (0.8862, 0.2694, 0.2694)  2 Mg 2.00


> Which of these has the lowest calculated total energy?

Ba2Mg3UF12


> Number 1 is which compound?

Ba2SrMgF


> Look up the calculated total energy of the third one.

-103.6 eV for the cell shown


> Among the records above, which one has the lowest calculated total energy?

Ba2Mg3UF12